{
  "formula": "Si4Rh3",
  "functional": "GGA-PBE",
  "state": "optimized geometry",
  "space_group": "Pnma (62)",
  "crystal_system": "orthorhombic",
  "raw_formation_energy_ev_per_atom": -0.713,
  "cell": [[18.9353, 0.0000, 0.0000], [0.0000, 3.6516, 0.0000], [0.0000, 0.0000, 5.8608]],
  "species": ["Si", "Si", "Si", "Si", "Si", "Si", "Si", "Si", "Si", "Si", "Si", "Si", "Si", "Si", "Si", "Si", "Rh", "Rh", "Rh", "Rh", "Rh", "Rh", "Rh", "Rh", "Rh", "Rh", "Rh", "Rh"],
  "frac_coords": [[0.0494, 0.2500, 0.0203], [0.0902, 0.2500, 0.5674], [0.1431, 0.7500, 0.1106], [0.2320, 0.2500, 0.2788], [0.2680, 0.7500, 0.7788], [0.3569, 0.2500, 0.6106], [0.4098, 0.7500, 0.0674], [0.4506, 0.7500, 0.5203], [0.5494, 0.2500, 0.4797], [0.5902, 0.2500, 0.9326], [0.6431, 0.7500, 0.3894], [0.7320, 0.2500, 0.2212], [0.7680, 0.7500, 0.7212], [0.8569, 0.2500, 0.8894], [0.9098, 0.7500, 0.4326], [0.9506, 0.7500, 0.9797], [0.0320, 0.7500, 0.3128], [0.1745, 0.2500, 0.8840], [0.1762, 0.7500, 0.4947], [0.3238, 0.2500, 0.9947], [0.3255, 0.7500, 0.3840], [0.4680, 0.2500, 0.8128], [0.5320, 0.7500, 0.1872], [0.6745, 0.2500, 0.6160], [0.6762, 0.7500, 0.0053], [0.8238, 0.2500, 0.5053], [0.8255, 0.7500, 0.1160], [0.9680, 0.2500, 0.6872]]
}